# 1
# YAl2Cr

An optimized crystal structure of YAl2Cr (PBE, the Alexandria database). Values from VASP.

Cell and atoms, written as Quantum ESPRESSO input:
```
&SYSTEM
  ibrav = 0, nat = 4, ntyp = 3
/
ATOMIC_SPECIES
Al 26.98 Al.upf
Y 88.91 Y.upf
Cr 52.00 Cr.upf
CELL_PARAMETERS angstrom
1.119 -3.977 2.291
0.648 0.072 4.679
-3.158 -2.050 2.853
ATOMIC_POSITIONS crystal
Al 0.750 0.750 0.750
Al 0.250 0.250 0.250
Y 0.500 0.500 0.500
Cr 0.000 0.000 0.000
```

Summary:
E_tot = -5.987 eV/atom


# 2
# Y2AlCr

An optimized crystal structure of Y2AlCr (PBE, the Alexandria database). Values from VASP.

Cell and atoms, written as Quantum ESPRESSO input:
```
&SYSTEM
  ibrav = 0, nat = 4, ntyp = 3
/
ATOMIC_SPECIES
Y 88.91 Y.upf
Cr 52.00 Cr.upf
Al 26.98 Al.upf
CELL_PARAMETERS angstrom
5.027 -0.015 0.000
0.008 5.028 0.000
0.000 0.000 3.731
ATOMIC_POSITIONS crystal
Y 0.000 0.000 0.000
Y 0.500 0.500 0.000
Cr 0.000 0.500 0.500
Al 0.500 0.000 0.500
```

Summary:
E_tot = -6.602 eV/atom


# 3
# Y2AlCr

An optimized crystal structure of Y2AlCr (PBE, the Alexandria database). Values from VASP.

Cell and atoms, written as Quantum ESPRESSO input:
```
&SYSTEM
  ibrav = 0, nat = 4, ntyp = 3
/
ATOMIC_SPECIES
Cr 52.00 Cr.upf
Y 88.91 Y.upf
Al 26.98 Al.upf
CELL_PARAMETERS angstrom
-2.508 3.920 -3.978
-3.402 0.704 -5.040
-4.834 1.031 0.950
ATOMIC_POSITIONS crystal
Cr 0.221 0.221 0.275
Y 0.981 0.981 0.022
Y 0.768 0.768 0.730
Al 0.531 0.531 0.473
```

Summary:
E_tot = -6.540 eV/atom


# 4
# YAl2Cr

An optimized crystal structure of YAl2Cr (PBE, the Alexandria database). Values from VASP.

Cell and atoms, written as Quantum ESPRESSO input:
```
&SYSTEM
  ibrav = 0, nat = 4, ntyp = 3
/
ATOMIC_SPECIES
Al 26.98 Al.upf
Y 88.91 Y.upf
Cr 52.00 Cr.upf
CELL_PARAMETERS angstrom
-1.815 1.766 3.536
1.214 -2.362 1.803
5.201 2.051 1.646
ATOMIC_POSITIONS crystal
Al 0.000 0.170 0.018
Al 0.500 0.071 0.272
Y 0.500 0.769 0.786
Cr 0.000 0.489 0.423
```

Summary:
E_tot = -5.908 eV/atom


# 5
# YAl2Cr2

An optimized crystal structure of YAl2Cr2 (PBE, the Alexandria database). Values from VASP.

Cell and atoms, written as Quantum ESPRESSO input:
```
&SYSTEM
  ibrav = 0, nat = 5, ntyp = 3
/
ATOMIC_SPECIES
Cr 52.00 Cr.upf
Y 88.91 Y.upf
Al 26.98 Al.upf
CELL_PARAMETERS angstrom
4.237 0.000 0.000
0.000 4.237 0.000
2.119 2.119 4.990
ATOMIC_POSITIONS crystal
Cr 0.594 0.594 0.812
Cr 0.406 0.406 0.188
Y 0.000 0.000 0.000
Al 0.250 0.750 0.500
Al 0.750 0.250 0.500
```

Summary:
Energy relative to the lowest polymorph listed for this composition = 0 meV/atom
E_tot = -6.596 eV/atom


# 6
# Y2AlCr

An optimized crystal structure of Y2AlCr (PBE, the Alexandria database). Values from VASP.

Cell and atoms, written as Quantum ESPRESSO input:
```
&SYSTEM
  ibrav = 0, nat = 4, ntyp = 3
/
ATOMIC_SPECIES
Y 88.91 Y.upf
Al 26.98 Al.upf
Cr 52.00 Cr.upf
CELL_PARAMETERS angstrom
4.662 0.000 0.000
0.000 3.555 0.066
0.000 1.676 5.851
ATOMIC_POSITIONS crystal
Y 0.000 0.971 0.932
Y 0.500 0.278 0.319
Al 0.000 0.688 0.499
Cr 0.500 0.562 0.750
```

Summary:
E_tot = -6.581 eV/atom